Entry 1:
Here is ScAl2InO after structural relaxation from the Alexandria database. Energies are from PBE-GGA.

Values from the calculation:
- calculated total energy (eV per atom) = -5.131
- raw formation energy (eV per formula unit) = -4.14
- calculated density (g/cm3) = 4.57
- D(E_F) (states/eV/atom) = 0.453
- calculated volume (Å³/atom) = 16.703

Cell: 4.335 4.335 4.444 Å, 90.00 90.00 90.00°
Space group P4/mmm (No. 123)
Unique sites:
Sc (0.000, 0.000, 0.000)
Al (0.000, 0.500, 0.500)
In (0.500, 0.500, 0.000)
O (0.000, 0.000, 0.500)

Entry 2:
Here is Ta2CuRu after structural relaxation from the Alexandria database. Energies are from PBE-GGA.

Values from the calculation:
- calculated total energy (eV per atom) = -9.278
- ΔH_f (0 K) (meV per atom) = -8.8
- calculated density (g/cm3) = 13.77
- D(E_F) (states/eV/atom) = 0.945
- calculated volume (Å³/atom) = 15.874

Cell: 3.123 4.462 9.115 Å, 90.00 90.00 90.00°
Space group Imm2 (No. 44)
Unique sites:
Ta (0.000, 0.000, 0.000)
Ta (0.000, 0.500, 0.241)
Cu (0.000, 0.500, 0.757)
Ru (0.000, 0.000, 0.505)

Entry 3:
Here is Na6NiCl8 after structural relaxation from the Alexandria database. Energies are from PBE-GGA.

Values from the calculation:
- calculated total energy (eV per atom) = -3.450
- raw formation energy (eV per formula unit) = -23.28
- calculated density (g/cm3) = 2.25
- calculated volume (Å³/atom) = 23.663

Cell: 11.239 11.239 11.239 Å, 90.00 90.00 90.00°
Space group Fm-3m (No. 225)
Unique sites:
Na (0.000, 0.250, 0.250)
Ni (0.000, 0.000, 0.000)
Cl (0.000, 0.000, 0.219)
Cl (0.250, 0.250, 0.250)

Entry 4:
Here is Si2WCl after structural relaxation from the Alexandria database. Energies are from PBE-GGA.

Values from the calculation:
- calculated total energy (eV per atom) = -5.385
- energy above the lowest structure with this stoichiometry (meV/atom) = 793.0
- raw formation energy (eV per formula unit) = 4.11
- calculated density (g/cm3) = 7.20
- D(E_F) (states/eV/atom) = 1.085
- calculated volume (Å³/atom) = 15.878

Cell: 6.333 6.333 6.333 Å, 90.00 90.00 90.00°
Space group Fm-3m (No. 225)
Unique sites:
Si (0.250, 0.250, 0.250)
W (0.000, 0.000, 0.000)
Cl (0.000, 0.000, 0.500)